Computed, not measured: crystalline DyYCoRh at its relaxed geometry at the PBE level of DFT.

Output
energy of formation	-482	meV/atom
total magnetic moment	0.579	μB per formula unit
space-group type	No. 216

abc: 4.801 4.801 4.801
angles: 60.00 60.00 60.00
Fractional coordinates of all 4 atoms:
Y 0.750 0.750 0.750
Co 0.000 0.000 0.000
Rh 0.500 0.500 0.500
Dy 0.250 0.250 0.250